# 1
Density functional theory data (PBE) for an optimized crystal structure of YRe4W.

SG ... F-43m (216)

Cell lengths 5.276, 5.276, 5.276 Å; angles 60.00, 60.00, 60.00 degrees
Element x y z (fractional)
W: 0.750 0.750 0.750
Y: 0.000 0.000 0.000
Re: 0.375 0.375 0.876
Re: 0.375 0.375 0.375
Re: 0.876 0.375 0.375
Re: 0.375 0.876 0.375

---

# 2
Density functional theory data (PBE) for an optimized crystal structure of YRe2W.

SG ... Cmm2 (35)

Cell lengths 2.823, 2.823, 9.364 Å; angles 90.00, 90.00, 110.07 degrees
Element x y z (fractional)
W: 0.000 0.000 0.474
Re: 0.000 0.000 0.024
Re: 0.500 0.500 0.247
Y: 0.500 0.500 0.756

---

# 3
Density functional theory data (PBE) for an optimized crystal structure of Y2ReW.

SG ... Cmmm (65)

Cell lengths 5.702, 5.702, 2.891 Å; angles 90.00, 90.00, 119.10 degrees
Element x y z (fractional)
W: 0.000 0.500 0.500
Y: 0.500 0.500 0.000
Y: 0.000 0.000 0.000
Re: 0.500 0.000 0.500

---

# 4
Density functional theory data (PBE) for an optimized crystal structure of YReW2.

SG ... F-43m (216)

Cell lengths 4.640, 4.640, 4.640 Å; angles 60.00, 60.00, 60.00 degrees
Element x y z (fractional)
W: 0.250 0.250 0.250
W: 0.000 0.000 0.000
Re: 0.500 0.500 0.500
Y: 0.750 0.750 0.750

---

# 5
Density functional theory data (PBE) for an optimized crystal structure of YReW2.

SG ... Fm-3m (225)

Cell lengths 4.623, 4.623, 4.623 Å; angles 60.00, 60.00, 60.00 degrees
Element x y z (fractional)
W: 0.750 0.750 0.750
W: 0.250 0.250 0.250
Y: 0.000 0.000 0.000
Re: 0.500 0.500 0.500

---

# 6
Density functional theory data (PBE) for an optimized crystal structure of Y2ReW.

SG ... P4mm (99)

Cell lengths 3.230, 3.230, 8.782 Å; angles 90.00, 90.00, 90.00 degrees
Element x y z (fractional)
Y: 0.000 0.000 0.940
Y: 0.500 0.500 0.315
Re: 0.000 0.000 0.546
W: 0.500 0.500 0.699

---

| no. | calculated total energy (eV/atom) | D(E_F) (states/eV per cell) | energy relative to the elements (eV per atom) |
| --- | --- | --- | --- |
| 1 | -11.387 | 7.5 | 0.148 |
| 2 | -10.633 | 4.1 | 0.445 |
| 3 | -8.889 | 5.2 | 0.693 |
| 4 | -10.817 | 5.0 | 0.388 |
| 5 | -10.776 | 3.7 | 0.429 |
| 6 | -9.471 | 5.1 | 0.112 |